Co2IrOs: single point on PBEsol structure, meta-GGA SCAN.

Summary:
* total magnetization: 0.61 μB per atom
* DOS at the Fermi energy: 3.7 states/eV/cell
* energy of formation: 0.18 eV/atom
* mass density: 17.2 g cm⁻³
* space group: No. 123
* offset from the most stable computed form: 71 meV/atom

POSCAR file:
```
Co2IrOs
1.0
3.5580 0.0000 0.0000
0.0000 3.6875 0.0000
0.0000 0.0000 3.6875
Co Ir Os
2 1 1
direct
0.0000 0.0000 0.5000
0.0000 0.5000 0.0000
0.5000 0.5000 0.5000
0.5000 0.0000 0.0000
```